This record from the Alexandria database describes a geometry-optimized U3Tl3CdSe8 structure. The functional is PBE.

E_tot in Ry per atom: -0.404
SG: R-3m (166)
Energy relative to the elements, uncorrected in eV/atom: -0.851
Size of the total moment in Bohr magnetons per cell: 7.00

a = 8.242 Å, b = 8.239 Å, c = 9.210 Å
α = 116.55°, β = 90.00°, γ = 120.01°
Each line ends with the local moment (μB).
Sites, in units of the cell vectors:
1 Se 0.272 0.034 0.296  -0.06
2 Se 0.264 0.529 0.293  -0.06
3 Se 0.728 0.966 0.704  -0.06
4 Se 0.762 0.034 0.296  -0.06
5 Se 0.762 0.524 0.296  -0.06
6 Se 0.238 0.476 0.704  -0.06
7 Se 0.736 0.471 0.707  -0.06
8 Se 0.238 0.966 0.704  -0.06
9 U 0.500 0.000 0.500  2.32
10 U 0.000 0.500 0.500  2.32
11 U 0.500 0.500 0.500  2.32
12 Tl 0.500 0.500 0.000  0.00
13 Tl 0.000 0.500 0.000  0.00
14 Tl 0.000 0.000 0.000  0.00
15 Cd 0.000 0.000 0.500  0.00